Record 1
Density functional theory data (PBE) for a relaxed structure of Zr3ScTi.

## Properties
The value obtained for the magnetization is 0.00 μB/atom. As for the crystal system: monoclinic. As for the mass density: 5.31 g cm⁻³. The value obtained for the energy of formation from the pure elements is 0.179 eV per atom. The excess energy over the best structure of this formula in the dataset comes out at 50 meV per atom.

abc: 8.094 8.094 10.067
angles: 108.97 108.97 21.60
Element x y z (fractional)
1 Zr 0.006 0.006 0.216
2 Zr 0.196 0.196 0.871
3 Zr 0.305 0.305 0.646
4 Zr 0.695 0.695 0.354
5 Zr 0.804 0.804 0.129
6 Zr 0.994 0.994 0.784
7 Sc 0.104 0.104 0.544
8 Sc 0.896 0.896 0.456
9 Ti 0.400 0.400 0.957
10 Ti 0.600 0.600 0.043

***

Record 2
Density functional theory data (PBE) for a relaxed structure of Zr2ScTi.

## Properties
The value obtained for the magnetization is 0.00 μB/atom. As for the crystal system: trigonal. As for the mass density: 5.20 g cm⁻³. The value obtained for the energy of formation from the pure elements is 0.076 eV per atom. The excess energy over the best structure of this formula in the dataset comes out at 18 meV per atom.

abc: 10.317 10.317 10.317
angles: 17.63 17.63 17.63
Element x y z (fractional)
1 Zr 0.000 0.000 0.000
2 Zr 0.175 0.175 0.175
3 Sc 0.755 0.755 0.755
4 Ti 0.588 0.588 0.588

***

Record 3
Density functional theory data (PBE) for a relaxed structure of ZrSc2Ti.

## Properties
The value obtained for the magnetization is 0.00 μB/atom. As for the crystal system: trigonal. As for the mass density: 4.32 g cm⁻³. The value obtained for the energy of formation from the pure elements is 0.090 eV per atom. The excess energy over the best structure of this formula in the dataset comes out at 2 meV per atom.

abc: 10.372 10.372 10.372
angles: 17.50 17.50 17.50
Element x y z (fractional)
1 Zr 0.000 0.000 0.000
2 Sc 0.578 0.578 0.578
3 Sc 0.753 0.753 0.753
4 Ti 0.165 0.165 0.165

***

Record 4
Density functional theory data (PBE) for a relaxed structure of ZrSc2Ti2.

## Properties
The value obtained for the magnetization is 0.00 μB/atom. As for the crystal system: tetragonal. As for the mass density: 4.35 g cm⁻³. The value obtained for the energy of formation from the pure elements is 0.167 eV per atom. The excess energy over the best structure of this formula in the dataset comes out at 0 meV per atom.

abc: 8.051 8.051 3.259
angles: 90.00 90.00 90.00
Element x y z (fractional)
1 Zr 0.000 0.000 0.000
2 Zr 0.500 0.500 0.000
3 Sc 0.175 0.325 0.500
4 Sc 0.325 0.825 0.500
5 Sc 0.675 0.175 0.500
6 Sc 0.825 0.675 0.500
7 Ti 0.120 0.620 0.000
8 Ti 0.380 0.120 0.000
9 Ti 0.620 0.880 0.000
10 Ti 0.880 0.380 0.000

***

Record 5
Density functional theory data (PBE) for a relaxed structure of ZrSc2Ti.

## Properties
The value obtained for the magnetization is 0.23 μB/atom. As for the crystal system: cubic. As for the mass density: 4.33 g cm⁻³. The value obtained for the energy of formation from the pure elements is 0.230 eV per atom. The excess energy over the best structure of this formula in the dataset comes out at 142 meV per atom.

abc: 4.990 4.990 4.990
angles: 60.00 60.00 60.00
Element x y z (fractional)
1 Zr 0.000 0.000 0.000
2 Sc 0.250 0.250 0.250
3 Sc 0.750 0.750 0.750
4 Ti 0.500 0.500 0.500

***

Record 6
Density functional theory data (PBE) for a relaxed structure of ZrScTi2.

## Properties
The value obtained for the magnetization is 0.00 μB/atom. As for the crystal system: tetragonal. As for the mass density: 4.76 g cm⁻³. The value obtained for the energy of formation from the pure elements is 0.108 eV per atom. The excess energy over the best structure of this formula in the dataset comes out at 0 meV per atom.

abc: 4.350 4.350 4.275
angles: 90.00 90.00 90.00
Element x y z (fractional)
1 Zr 0.000 0.000 0.000
2 Sc 0.500 0.500 0.000
3 Ti 0.000 0.500 0.500
4 Ti 0.500 0.000 0.500

***

Record 7
Density functional theory data (PBE) for a relaxed structure of ZrSc2Ti2.

## Properties
The value obtained for the magnetization is 0.00 μB/atom. As for the crystal system: tetragonal. As for the mass density: 4.36 g cm⁻³. The value obtained for the energy of formation from the pure elements is 0.230 eV per atom. The excess energy over the best structure of this formula in the dataset comes out at 63 meV per atom.

abc: 8.145 8.145 3.176
angles: 90.00 90.00 90.00
Element x y z (fractional)
1 Zr 0.000 0.000 0.000
2 Zr 0.500 0.500 0.000
3 Sc 0.127 0.373 0.000
4 Sc 0.373 0.873 0.000
5 Sc 0.627 0.127 0.000
6 Sc 0.873 0.627 0.000
7 Ti 0.172 0.672 0.500
8 Ti 0.328 0.172 0.500
9 Ti 0.672 0.828 0.500
10 Ti 0.828 0.328 0.500

***

Record 8
Density functional theory data (PBE) for a relaxed structure of Zr3ScTi.

## Properties
The value obtained for the magnetization is 0.00 μB/atom. As for the crystal system: monoclinic. As for the mass density: 5.45 g cm⁻³. The value obtained for the energy of formation from the pure elements is 0.128 eV per atom. The excess energy over the best structure of this formula in the dataset comes out at 0 meV per atom.

abc: 3.142 12.342 5.827
angles: 90.00 98.63 90.00
Element x y z (fractional)
1 Zr 0.000 0.134 0.250
2 Zr 0.000 0.866 0.750
3 Zr 0.369 0.320 0.988
4 Zr 0.369 0.680 0.488
5 Zr 0.631 0.320 0.512
6 Zr 0.631 0.680 0.012
7 Sc 0.500 0.090 0.750
8 Sc 0.500 0.910 0.250
9 Ti 0.000 0.492 0.250
10 Ti 0.000 0.508 0.750

***

Record 9
Density functional theory data (PBE) for a relaxed structure of ZrScTi2.

## Properties
The value obtained for the magnetization is 0.26 μB/atom. As for the crystal system: tetragonal. As for the mass density: 4.68 g cm⁻³. The value obtained for the energy of formation from the pure elements is 0.526 eV per atom. The excess energy over the best structure of this formula in the dataset comes out at 418 meV per atom.

abc: 6.048 6.048 6.048
angles: 103.80 103.80 121.53
Element x y z (fractional)
1 Zr 0.000 0.000 0.000
2 Zr 0.750 0.250 0.500
3 Sc 0.250 0.750 0.500
4 Sc 0.500 0.500 0.000
5 Ti 0.127 0.625 0.002
6 Ti 0.375 0.377 0.502
7 Ti 0.623 0.125 0.998
8 Ti 0.875 0.873 0.498

***

Record 10
Density functional theory data (PBE) for a relaxed structure of Zr2ScTi.

## Properties
The value obtained for the magnetization is 0.00 μB/atom. As for the crystal system: tetragonal. As for the mass density: 5.25 g cm⁻³. The value obtained for the energy of formation from the pure elements is 0.097 eV per atom. The excess energy over the best structure of this formula in the dataset comes out at 39 meV per atom.

abc: 3.636 3.636 6.584
angles: 90.00 90.00 90.00
Element x y z (fractional)
1 Zr 0.000 0.000 0.222
2 Zr 0.000 0.000 0.778
3 Sc 0.500 0.500 0.500
4 Ti 0.500 0.500 0.000

***

Record 11
Density functional theory data (PBE) for a relaxed structure of Zr4Sc2Ti.

## Properties
The value obtained for the magnetization is 0.00 μB/atom. As for the crystal system: monoclinic. As for the mass density: 5.24 g cm⁻³. The value obtained for the energy of formation from the pure elements is 0.036 eV per atom.

abc: 3.204 3.204 17.998
angles: 95.09 95.09 59.98
Element x y z (fractional)
1 Zr 0.000 0.000 0.000
2 Zr 0.433 0.433 0.298
3 Zr 0.521 0.521 0.562
4 Zr 0.902 0.902 0.709
5 Sc 0.618 0.618 0.855
6 Sc 0.716 0.716 0.147
7 Ti 0.809 0.809 0.430

***

Record 12
Density functional theory data (PBE) for a relaxed structure of Zr2ScTi.

## Properties
The value obtained for the magnetization is 0.33 μB/atom. As for the crystal system: cubic. As for the mass density: 5.28 g cm⁻³. The value obtained for the energy of formation from the pure elements is 0.137 eV per atom. The excess energy over the best structure of this formula in the dataset comes out at 79 meV per atom.

abc: 4.967 4.967 4.967
angles: 60.00 60.00 60.00
Element x y z (fractional)
1 Zr 0.250 0.250 0.250
2 Zr 0.750 0.750 0.750
3 Sc 0.000 0.000 0.000
4 Ti 0.500 0.500 0.500

***

Record 13
Density functional theory data (PBE) for a relaxed structure of ZrSc2Ti.

## Properties
The value obtained for the magnetization is 0.08 μB/atom. As for the crystal system: tetragonal. As for the mass density: 4.35 g cm⁻³. The value obtained for the energy of formation from the pure elements is 0.187 eV per atom. The excess energy over the best structure of this formula in the dataset comes out at 99 meV per atom.

abc: 3.633 3.633 6.627
angles: 90.00 90.00 90.00
Element x y z (fractional)
1 Zr 0.000 0.000 0.000
2 Sc 0.500 0.500 0.270
3 Sc 0.500 0.500 0.730
4 Ti 0.000 0.000 0.500

***

Record 14
Density functional theory data (PBE) for a relaxed structure of ZrSc2Ti.

## Properties
The value obtained for the magnetization is 0.00 μB/atom. As for the crystal system: tetragonal. As for the mass density: 4.35 g cm⁻³. The value obtained for the energy of formation from the pure elements is 0.088 eV per atom. The excess energy over the best structure of this formula in the dataset comes out at 0 meV per atom.

abc: 4.405 4.405 4.506
angles: 90.00 90.00 90.00
Element x y z (fractional)
1 Zr 0.000 0.000 0.000
2 Sc 0.000 0.500 0.500
3 Sc 0.500 0.000 0.500
4 Ti 0.500 0.500 0.000

***

Record 15
Density functional theory data (PBE) for a relaxed structure of Zr2Sc2Ti.

## Properties
The value obtained for the magnetization is 0.18 μB/atom. As for the crystal system: tetragonal. As for the mass density: 4.69 g cm⁻³. The value obtained for the energy of formation from the pure elements is 0.317 eV per atom. The excess energy over the best structure of this formula in the dataset comes out at 50 meV per atom.

abc: 8.253 8.253 3.329
angles: 90.00 90.00 90.00
Element x y z (fractional)
1 Zr 0.174 0.326 0.000
2 Zr 0.326 0.826 0.000
3 Zr 0.674 0.174 0.000
4 Zr 0.826 0.674 0.000
5 Sc 0.127 0.627 0.500
6 Sc 0.373 0.127 0.500
7 Sc 0.627 0.873 0.500
8 Sc 0.873 0.373 0.500
9 Ti 0.000 0.000 0.500
10 Ti 0.500 0.500 0.500

***

Record 16
Density functional theory data (PBE) for a relaxed structure of ZrSc3Ti.

## Properties
The value obtained for the magnetization is 0.00 μB/atom. As for the crystal system: cubic. As for the mass density: 3.77 g cm⁻³. The value obtained for the energy of formation from the pure elements is 0.664 eV per atom. The excess energy over the best structure of this formula in the dataset comes out at 607 meV per atom.

abc: 4.944 4.944 4.944
angles: 90.00 90.00 90.00
Element x y z (fractional)
1 Zr 0.000 0.000 0.000
2 Sc 0.000 0.500 0.500
3 Sc 0.500 0.000 0.500
4 Sc 0.500 0.500 0.000
5 Ti 0.500 0.500 0.500

***

Record 17
Density functional theory data (PBE) for a relaxed structure of Zr6ScTi2.

## Properties
The value obtained for the magnetization is 0.00 μB/atom. As for the crystal system: monoclinic. As for the mass density: 5.74 g cm⁻³. The value obtained for the energy of formation from the pure elements is 0.080 eV per atom.

abc: 8.478 8.478 5.840
angles: 99.96 99.96 99.97
Element x y z (fractional)
1 Zr 0.046 0.412 0.689
2 Zr 0.132 0.762 0.972
3 Zr 0.238 0.868 0.528
4 Zr 0.251 0.442 0.186
5 Zr 0.412 0.046 0.189
6 Zr 0.442 0.251 0.686
7 Zr 0.558 0.749 0.314
8 Zr 0.588 0.954 0.811
9 Zr 0.749 0.558 0.814
10 Zr 0.762 0.132 0.472
11 Zr 0.868 0.238 0.028
12 Zr 0.954 0.588 0.311
13 Sc 0.396 0.604 0.750
14 Sc 0.604 0.396 0.250
15 Ti 0.123 0.143 0.363
16 Ti 0.143 0.123 0.863
17 Ti 0.857 0.877 0.137
18 Ti 0.877 0.857 0.637

***

Record 18
Density functional theory data (PBE) for a relaxed structure of ZrSc3Ti.

## Properties
The value obtained for the magnetization is 0.00 μB/atom. As for the crystal system: orthorhombic. As for the mass density: 4.03 g cm⁻³. The value obtained for the energy of formation from the pure elements is 0.056 eV per atom. The excess energy over the best structure of this formula in the dataset comes out at 0 meV per atom.

abc: 3.134 7.719 7.719
angles: 37.17 90.00 90.00
Element x y z (fractional)
1 Zr 0.000 0.000 0.000
2 Sc 0.000 0.228 0.228
3 Sc 0.500 0.414 0.414
4 Sc 0.500 0.622 0.622
5 Ti 0.500 0.821 0.821

***

Record 19
Density functional theory data (PBE) for a relaxed structure of Zr4ScTi2.

## Properties
The value obtained for the magnetization is 0.00 μB/atom. As for the crystal system: triclinic. As for the mass density: 5.49 g cm⁻³. The value obtained for the energy of formation from the pure elements is 0.161 eV per atom.

abc: 5.639 7.219 8.648
angles: 79.80 71.01 67.10
Element x y z (fractional)
1 Zr 0.000 0.000 0.000
2 Zr 0.007 0.470 0.503
3 Zr 0.069 0.427 0.842
4 Zr 0.549 0.417 0.076
5 Zr 0.585 0.878 0.936
6 Zr 0.607 0.349 0.439
7 Zr 0.648 0.932 0.363
8 Zr 0.942 0.922 0.598
9 Sc 0.288 0.762 0.286
10 Sc 0.941 0.587 0.155
11 Ti 0.204 0.175 0.219
12 Ti 0.311 0.082 0.662
13 Ti 0.420 0.675 0.719
14 Ti 0.660 0.268 0.777

***

Record 20
Density functional theory data (PBE) for a relaxed structure of Zr2Sc2Ti.

## Properties
The value obtained for the magnetization is 0.00 μB/atom. As for the crystal system: tetragonal. As for the mass density: 4.70 g cm⁻³. The value obtained for the energy of formation from the pure elements is 0.267 eV per atom. The excess energy over the best structure of this formula in the dataset comes out at 0 meV per atom.

abc: 7.455 7.455 4.071
angles: 90.00 90.00 90.00
Element x y z (fractional)
1 Zr 0.144 0.356 0.000
2 Zr 0.356 0.856 0.000
3 Zr 0.644 0.144 0.000
4 Zr 0.856 0.644 0.000
5 Sc 0.156 0.656 0.500
6 Sc 0.344 0.156 0.500
7 Sc 0.656 0.844 0.500
8 Sc 0.844 0.344 0.500
9 Ti 0.000 0.000 0.000
10 Ti 0.500 0.500 0.000